Entry w
Compound: InBi2I
Source: Alexandria
Functional: PBE
Structure: optimized geometry

Lattice parameters (Å, degrees): 8.9620 8.9620 8.9620 132.96 132.96 68.71
Closest atoms and distances in Å follow each position.
Sites, in units of the cell vectors:
In (0.0000, 0.0000, 0.0000)  4 Bi 2.97
In (0.7500, 0.2500, 0.5000)  4 Bi 2.97
Bi (0.0835, 0.6250, 0.9585)  2 In 2.97, 2 I 3.31
Bi (0.3750, 0.3335, 0.4585)  2 In 2.97, 2 I 3.31
Bi (0.6665, 0.1250, 0.0415)  2 In 2.97, 2 I 3.31
Bi (0.8750, 0.9165, 0.5415)  2 In 2.97, 2 I 3.31
I (0.2500, 0.7500, 0.5000)  4 Bi 3.31
I (0.5000, 0.5000, 0.0000)  4 Bi 3.31

=====

Entry x
Compound: InBi2I
Source: Alexandria
Functional: PBE
Structure: optimized geometry

Lattice parameters (Å, degrees): 5.5999 5.5999 5.5999 60.00 60.00 60.00
Closest atoms and distances in Å follow each position.
Sites, in units of the cell vectors:
In (0.0000, 0.0000, 0.0000)  8 Bi 3.43
Bi (0.2500, 0.2500, 0.2500)  4 In 3.43, 4 I 3.43
Bi (0.7500, 0.7500, 0.7500)  4 In 3.43, 4 I 3.43
I (0.5000, 0.5000, 0.5000)  8 Bi 3.43

=====

Entry y
Compound: InBi2I
Source: Alexandria
Functional: PBE
Structure: optimized geometry

Lattice parameters (Å, degrees): 7.8942 4.4774 17.7879 90.00 90.00 90.00
Closest atoms and distances in Å follow each position.
Sites, in units of the cell vectors:
In (0.2500, 0.0000, 0.1307)  2 Bi 3.01, 2 I 3.03
In (0.2500, 0.5000, 0.3693)  2 Bi 3.01, 2 I 3.03
In (0.7500, 0.0000, 0.8693)  2 Bi 3.01, 2 I 3.03
In (0.7500, 0.5000, 0.6307)  2 Bi 3.01, 2 I 3.03
Bi (0.0597, 0.2501, 0.5541)  1 In 3.01, 2 Bi 3.10
Bi (0.0597, 0.2499, 0.9459)  1 In 3.01, 2 Bi 3.10
Bi (0.4403, 0.7499, 0.5541)  1 In 3.01, 2 Bi 3.10
Bi (0.4403, 0.7501, 0.9459)  1 In 3.01, 2 Bi 3.10
Bi (0.5597, 0.2499, 0.0541)  1 In 3.01, 2 Bi 3.10
Bi (0.5597, 0.2501, 0.4459)  1 In 3.01, 2 Bi 3.10
Bi (0.9403, 0.7501, 0.0541)  1 In 3.01, 2 Bi 3.10
Bi (0.9403, 0.7499, 0.4459)  1 In 3.01, 2 Bi 3.10
I (0.0146, 0.2500, 0.2500)  2 In 3.03
I (0.4854, 0.7500, 0.2500)  2 In 3.03
I (0.5146, 0.2500, 0.7500)  2 In 3.03
I (0.9854, 0.7500, 0.7500)  2 In 3.03

=====

Most favorable first, least favorable last: entry y, entry x, entry w